Entry a
# BaCeAu (PBE, relaxed)
data_BaCeAu
_space_group_name_H-M_alt 'P 3 m 1'
_space_group_IT_number 156
_cell_length_a 5.0691
_cell_length_b 5.0691
_cell_length_c 4.7099
_cell_angle_alpha 90.00
_cell_angle_beta 90.00
_cell_angle_gamma 120.00
loop_
_space_group_symop_operation_xyz
'x,y,z'
'-y,x-y,z'
'-x+y,-x,z'
'-y,-x,z'
'-x+y,y,z'
'x,x-y,z'
loop_
_atom_site_label
_atom_site_type_symbol
_atom_site_fract_x
_atom_site_fract_y
_atom_site_fract_z
_atom_site_occupancy
Ba1 Ba 0.0000 0.0000 0.0000 1
Ce1 Ce 0.6667 0.3333 0.4689 1
Au1 Au 0.3333 0.6667 0.5637 1
# theoretical density: 7.52 Mg/m³

=====

Entry b
# BaCeAu (PBE, relaxed)
data_BaCeAu
_space_group_name_H-M_alt 'I 4 m m'
_space_group_IT_number 107
_space_group_name_Hall 'I 4 -2'
_cell_length_a 3.914
_cell_length_b 3.914
_cell_length_c 13.769
_cell_angle_alpha 90.00
_cell_angle_beta 90.00
_cell_angle_gamma 90.00
loop_
_atom_site_label
_atom_site_type_symbol
_atom_site_fract_x
_atom_site_fract_y
_atom_site_fract_z
_atom_site_occupancy
Ba1 Ba 0.000 0.000 0.000 1
Ce1 Ce 0.000 0.000 0.265 1
Au1 Au 0.000 0.000 0.668 1
# theoretical density: 7.47 Mg/m³

=====

Short version: entry a is the least stable of them.

=====

Entry a
# BaAuCl3 (PBE, relaxed)
data_BaAuCl3
_space_group_name_H-M_alt 'P m -3 m'
_space_group_IT_number 221
_space_group_name_Hall '-P 4 2 3'
_cell_length_a 5.974
_cell_length_b 5.974
_cell_length_c 5.974
_cell_angle_alpha 90.00
_cell_angle_beta 90.00
_cell_angle_gamma 90.00
loop_
_atom_site_label
_atom_site_type_symbol
_atom_site_fract_x
_atom_site_fract_y
_atom_site_fract_z
_atom_site_occupancy
Ba1 Ba 0.000 0.000 0.000 1
Au1 Au 0.500 0.500 0.500 1
Cl1 Cl 0.000 0.000 0.500 1
# theoretical density: 3.43 Mg/m³

=====

Entry b
# BaAuCl3 (PBE, relaxed)
data_BaAuCl3
_space_group_name_H-M_alt 'P m -3 m'
_space_group_IT_number 221
_space_group_name_Hall '-P 4 2 3'
_cell_length_a 5.266
_cell_length_b 5.266
_cell_length_c 5.266
_cell_angle_alpha 90.00
_cell_angle_beta 90.00
_cell_angle_gamma 90.00
loop_
_atom_site_label
_atom_site_type_symbol
_atom_site_fract_x
_atom_site_fract_y
_atom_site_fract_z
_atom_site_occupancy
Ba1 Ba 0.000 0.000 0.000 1
Au1 Au 0.500 0.500 0.500 1
Cl1 Cl 0.000 0.500 0.500 1
# theoretical density: 5.01 Mg/m³

=====

Short version: entry a is the least stable of them.

=====

Entry a
# Ba2Au2Cl (PBE, relaxed)
data_Ba2Au2Cl
_space_group_name_H-M_alt 'I 4/m m m'
_space_group_IT_number 139
_space_group_name_Hall '-I 4 2'
_cell_length_a 6.025
_cell_length_b 6.025
_cell_length_c 10.395
_cell_angle_alpha 90.00
_cell_angle_beta 90.00
_cell_angle_gamma 90.00
loop_
_atom_site_label
_atom_site_type_symbol
_atom_site_fract_x
_atom_site_fract_y
_atom_site_fract_z
_atom_site_occupancy
Ba1 Ba 0.000 0.500 0.250 1
Au1 Au 0.000 0.000 0.131 1
Cl1 Cl 0.000 0.000 0.500 1
# theoretical density: 6.20 Mg/m³

=====

Entry b
# Ba2Au2Cl (PBE, relaxed)
data_Ba2Au2Cl
_space_group_name_H-M_alt 'P 4/m b m'
_space_group_IT_number 127
_space_group_name_Hall '-P 4 2ab'
_cell_length_a 8.822
_cell_length_b 8.822
_cell_length_c 4.480
_cell_angle_alpha 90.00
_cell_angle_beta 90.00
_cell_angle_gamma 90.00
loop_
_atom_site_label
_atom_site_type_symbol
_atom_site_fract_x
_atom_site_fract_y
_atom_site_fract_z
_atom_site_occupancy
Ba1 Ba 0.185 0.315 0.000 1
Au1 Au 0.113 0.613 0.500 1
Cl1 Cl 0.000 0.000 0.000 1
# theoretical density: 6.71 Mg/m³

=====

Short version: entry a is the least stable of them.

=====

Entry a
# BaAuCl4 (PBE, relaxed)
data_BaAuCl4
_space_group_name_H-M_alt 'I 41/a m d'
_space_group_IT_number 141
_cell_length_a 9.793
_cell_length_b 9.793
_cell_length_c 8.887
_cell_angle_alpha 90.00
_cell_angle_beta 90.00
_cell_angle_gamma 90.00
loop_
_space_group_symop_operation_xyz
'x,y,z'
'-x,-y,-z'
'-y+1/4,x+3/4,z+1/4'
'y+1/4,-x+3/4,-z+1/4'
'-x+1/2,-y,z+1/2'
'x+1/2,y,-z+1/2'
'y+1/4,-x+1/4,z+3/4'
'-y+1/4,x+1/4,-z+3/4'
'x,-y,-z'
'-x,y,z'
'-y+1/4,-x+1/4,-z+3/4'
'y+1/4,x+1/4,z+3/4'
'-x+1/2,y,-z+1/2'
'x+1/2,-y,z+1/2'
'y+1/4,x+3/4,-z+1/4'
'-y+1/4,-x+3/4,z+1/4'
'x+1/2,y+1/2,z+1/2'
'-x+1/2,-y+1/2,-z+1/2'
'-y+3/4,x+1/4,z+3/4'
'y+3/4,-x+1/4,-z+3/4'
'-x,-y+1/2,z'
'x,y+1/2,-z'
'y+3/4,-x+3/4,z+1/4'
'-y+3/4,x+3/4,-z+1/4'
'x+1/2,-y+1/2,-z+1/2'
'-x+1/2,y+1/2,z+1/2'
'-y+3/4,-x+3/4,-z+1/4'
'y+3/4,x+3/4,z+1/4'
'-x,y+1/2,-z'
'x,-y+1/2,z'
'y+3/4,x+1/4,-z+3/4'
'-y+3/4,-x+1/4,z+3/4'
loop_
_atom_site_label
_atom_site_type_symbol
_atom_site_fract_x
_atom_site_fract_y
_atom_site_fract_z
_atom_site_occupancy
Ba1 Ba 0.000 0.250 0.375 1
Au1 Au 0.000 0.250 0.875 1
Cl1 Cl 0.000 0.074 0.672 1
# theoretical density: 3.71 Mg/m³

=====

Entry b
# BaAuCl4 (PBE, relaxed)
data_BaAuCl4
_space_group_name_H-M_alt 'C 1 2/c 1'
_space_group_IT_number 15
_cell_length_a 12.101
_cell_length_b 5.919
_cell_length_c 9.822
_cell_angle_alpha 90.00
_cell_angle_beta 103.22
_cell_angle_gamma 90.00
loop_
_space_group_symop_operation_xyz
'x,y,z'
'-x,-y,-z'
'-x,y,-z+1/2'
'x,-y,z+1/2'
'x+1/2,y+1/2,z'
'-x+1/2,-y+1/2,-z'
'-x+1/2,y+1/2,-z+1/2'
'x+1/2,-y+1/2,z+1/2'
loop_
_atom_site_label
_atom_site_type_symbol
_atom_site_fract_x
_atom_site_fract_y
_atom_site_fract_z
_atom_site_occupancy
Ba1 Ba 0.000 0.231 0.250 1
Au1 Au 0.250 0.250 0.000 1
Cl1 Cl 0.040 0.251 0.931 1
Cl2 Cl 0.248 0.065 0.660 1
# theoretical density: 4.62 Mg/m³

=====

Entry c
# BaAuCl4 (PBE, relaxed)
data_BaAuCl4
_space_group_name_H-M_alt 'F -4 3 m'
_space_group_IT_number 216
_space_group_name_Hall 'F -4 2 3'
_cell_length_a 8.622
_cell_length_b 8.622
_cell_length_c 8.622
_cell_angle_alpha 90.00
_cell_angle_beta 90.00
_cell_angle_gamma 90.00
loop_
_atom_site_label
_atom_site_type_symbol
_atom_site_fract_x
_atom_site_fract_y
_atom_site_fract_z
_atom_site_occupancy
Ba1 Ba 0.000 0.000 0.000 1
Au1 Au 0.250 0.250 0.250 1
Cl1 Cl 0.125 0.125 0.625 1
# theoretical density: 4.93 Mg/m³

=====

Short version: entry c is the least stable of them.

=====

Entry a
# BaPAuCl2 (PBE, relaxed)
data_BaPAuCl2
_space_group_name_H-M_alt 'P 4/m m m'
_space_group_IT_number 123
_space_group_name_Hall '-P 4 2'
_cell_length_a 5.822
_cell_length_b 5.822
_cell_length_c 7.460
_cell_angle_alpha 90.00
_cell_angle_beta 90.00
_cell_angle_gamma 90.00
loop_
_atom_site_label
_atom_site_type_symbol
_atom_site_fract_x
_atom_site_fract_y
_atom_site_fract_z
_atom_site_occupancy
Ba1 Ba 0.000 0.000 0.000 1
P1 P 0.000 0.000 0.500 1
Au1 Au 0.500 0.500 0.500 1
Cl1 Cl 0.000 0.500 0.000 1
# theoretical density: 2.86 Mg/m³

=====

Entry b
# BaPAuCl2 (PBE, relaxed)
data_BaPAuCl2
_space_group_name_H-M_alt 'P 4/m m m'
_space_group_IT_number 123
_space_group_name_Hall '-P 4 2'
_cell_length_a 5.399
_cell_length_b 5.399
_cell_length_c 4.771
_cell_angle_alpha 90.00
_cell_angle_beta 90.00
_cell_angle_gamma 90.00
loop_
_atom_site_label
_atom_site_type_symbol
_atom_site_fract_x
_atom_site_fract_y
_atom_site_fract_z
_atom_site_occupancy
Ba1 Ba 0.000 0.000 0.000 1
P1 P 0.500 0.500 0.000 1
Au1 Au 0.500 0.500 0.500 1
Cl1 Cl 0.000 0.500 0.500 1
# theoretical density: 5.21 Mg/m³

=====

Short version: entry a is the least stable of them.

=====

Entry a
# BaAuS2Cl (PBE, relaxed)
data_BaAuS2Cl
_space_group_name_H-M_alt 'P 4/m m m'
_space_group_IT_number 123
_space_group_name_Hall '-P 4 2'
_cell_length_a 4.967
_cell_length_b 4.967
_cell_length_c 5.115
_cell_angle_alpha 90.00
_cell_angle_beta 90.00
_cell_angle_gamma 90.00
loop_
_atom_site_label
_atom_site_type_symbol
_atom_site_fract_x
_atom_site_fract_y
_atom_site_fract_z
_atom_site_occupancy
Ba1 Ba 0.000 0.000 0.000 1
Au1 Au 0.500 0.500 0.500 1
S1 S 0.000 0.500 0.500 1
Cl1 Cl 0.500 0.500 0.000 1
# theoretical density: 5.71 Mg/m³

=====

Entry b
# BaAuS2Cl (PBE, relaxed)
data_BaAuS2Cl
_space_group_name_H-M_alt 'P 4/m m m'
_space_group_IT_number 123
_space_group_name_Hall '-P 4 2'
_cell_length_a 6.263
_cell_length_b 6.263
_cell_length_c 5.857
_cell_angle_alpha 90.00
_cell_angle_beta 90.00
_cell_angle_gamma 90.00
loop_
_atom_site_label
_atom_site_type_symbol
_atom_site_fract_x
_atom_site_fract_y
_atom_site_fract_z
_atom_site_occupancy
Ba1 Ba 0.000 0.000 0.000 1
Au1 Au 0.500 0.500 0.500 1
S1 S 0.000 0.500 0.000 1
Cl1 Cl 0.000 0.000 0.500 1
# theoretical density: 3.14 Mg/m³

=====

Short version: entry b is the least stable of them.